[1]
Material: BeV3In
Method: DFT, PBE
State: relaxed

Cell and atoms, written as POSCAR:
```
BeV3In
1.0
5.020 0.000 0.000
0.000 5.020 0.000
0.000 0.000 5.020
V In Be
3 1 1
direct
0.000 0.000 0.500
0.000 0.500 0.000
0.500 0.000 0.000
0.000 0.000 0.000
0.500 0.500 0.500
```

Summary:
Space-group type ... No. 221
Energy above the most stable polymorph in this dataset ... 1659.1 meV/atom

---

[2]
Material: BeV3In
Method: DFT, PBE
State: relaxed

Cell and atoms, written as POSCAR:
```
BeV3In
1.0
4.196 0.000 0.000
0.000 4.196 0.000
0.000 0.000 4.196
Be In V
1 1 3
direct
0.000 0.000 0.000
0.500 0.500 0.500
0.500 0.000 0.000
0.000 0.500 0.000
0.000 0.000 0.500
```

Summary:
Space-group type ... No. 221
Energy above the most stable polymorph in this dataset ... 0.0 meV/atom

---

[3]
Material: Be2VIn
Method: DFT, PBE
State: relaxed

Cell and atoms, written as POSCAR:
```
Be2VIn
1.0
6.547 0.000 0.000
0.000 6.547 0.000
3.273 3.273 2.667
Be V In
4 2 2
direct
0.616 0.125 0.250
0.875 0.866 0.750
0.134 0.625 0.250
0.375 0.384 0.750
0.250 0.750 0.500
0.500 0.500 0.000
0.750 0.250 0.500
0.000 0.000 0.000
```

Summary:
Space-group type ... No. 122

---

[4]
Material: BeV2In2
Method: DFT, PBE
State: relaxed

Cell and atoms, written as POSCAR:
```
BeV2In2
1.0
-2.157 -2.653 -5.098
-0.808 -5.251 3.075
-4.110 1.265 1.081
In V Be
4 4 2
direct
0.331 0.169 0.500
0.831 0.331 0.500
0.669 0.831 0.500
0.169 0.669 0.500
0.356 0.856 0.000
0.644 0.144 0.000
0.144 0.356 0.000
0.856 0.644 0.000
0.500 0.500 0.000
0.000 0.000 0.000
```

Summary:
Space-group type ... No. 127

---

[5]
Material: BeVInW2
Method: DFT, PBE
State: relaxed

Cell and atoms, written as POSCAR:
```
BeVInW2
1.0
-3.849 0.530 1.894
-0.445 -4.158 0.259
1.913 0.037 3.877
In Be W V
1 1 2 1
direct
0.500 0.500 0.500
0.000 0.000 0.000
0.000 0.000 0.500
0.500 0.000 0.000
0.000 0.500 0.000
```

Summary:
Space-group type ... No. 123

---

[6]
Material: BeIn2W
Method: DFT, PBE
State: relaxed

Cell and atoms, written as POSCAR:
```
BeIn2W
1.0
3.104 0.000 0.000
0.000 3.363 0.000
0.000 0.000 7.139
In Be W
2 1 1
direct
0.000 0.000 0.962
0.500 0.500 0.299
0.500 0.500 0.672
0.000 0.000 0.568
```

Summary:
Space-group type ... No. 25

---

[7]
Material: BeIn2W
Method: DFT, PBE
State: relaxed

Cell and atoms, written as POSCAR:
```
BeIn2W
1.0
-4.174 1.433 0.433
-0.295 -1.581 2.385
1.794 4.300 3.065
In W Be
2 1 1
direct
0.000 0.751 0.500
0.000 0.749 0.000
0.500 0.250 0.250
0.500 0.750 0.750
```

Summary:
Space-group type ... No. 47

---

[8]
Material: BeIn2W
Method: DFT, PBE
State: relaxed

Cell and atoms, written as POSCAR:
```
BeIn2W
1.0
9.030 0.002 0.001
8.517 3.001 0.001
8.517 1.458 2.623
In Be W
2 1 1
direct
0.007 0.007 0.007
0.493 0.493 0.493
0.750 0.750 0.750
0.250 0.250 0.250
```

Summary:
Space-group type ... No. 166

---

[9]
Material: BeIn3W
Method: DFT, PBE
State: relaxed

Cell and atoms, written as POSCAR:
```
BeIn3W
1.0
5.324 0.000 0.000
0.000 5.324 0.000
0.000 0.000 5.324
In W Be
3 1 1
direct
0.000 0.000 0.500
0.500 0.000 0.000
0.000 0.500 0.000
0.000 0.000 0.000
0.500 0.500 0.500
```

Summary:
Space-group type ... No. 221
Energy above the most stable polymorph in this dataset ... 52.2 meV/atom

---

[10]
Material: BeIn2W
Method: DFT, PBE
State: relaxed

Cell and atoms, written as POSCAR:
```
BeIn2W
1.0
-0.013 -1.397 2.512
2.837 -0.409 -0.213
1.380 7.416 4.131
W In Be
1 2 1
direct
0.500 0.500 0.250
0.000 0.000 0.519
0.000 0.000 0.981
0.500 0.500 0.750
```

Summary:
Space-group type ... No. 123

---

[11]
Material: BeIn2W
Method: DFT, PBE
State: relaxed

Cell and atoms, written as POSCAR:
```
BeIn2W
1.0
-0.527 2.149 1.827
-2.704 -0.914 0.295
2.529 -5.251 6.906
W In Be
1 2 1
direct
0.000 0.000 0.545
0.000 0.000 0.948
0.500 0.500 0.288
0.500 0.500 0.719
```

Summary:
Space-group type ... No. 99

---

[12]
Material: BeIn2W
Method: DFT, PBE
State: relaxed

Cell and atoms, written as POSCAR:
```
BeIn2W
1.0
-0.964 -2.369 -1.456
2.626 -0.614 1.180
-3.940 -2.869 7.278
In Be W
2 1 1
direct
0.000 0.000 0.983
0.000 0.000 0.517
0.500 0.500 0.750
0.500 0.500 0.250
```

Summary:
Space-group type ... No. 65

---

[13]
Material: BeInW
Method: DFT, PBE
State: relaxed

Cell and atoms, written as POSCAR:
```
BeInW
1.0
4.371 0.000 0.000
2.186 3.786 0.000
2.186 1.262 3.569
In W Be
1 1 1
direct
0.500 0.500 0.500
0.250 0.250 0.250
0.000 0.000 0.000
```

Summary:
Space-group type ... No. 216
Energy above the most stable polymorph in this dataset ... 863.5 meV/atom

---

[14]
Material: BeIn2W
Method: DFT, PBE
State: relaxed

Cell and atoms, written as POSCAR:
```
BeIn2W
1.0
3.545 0.000 0.000
0.000 3.545 0.000
0.000 0.000 5.636
W In Be
1 2 1
direct
0.500 0.500 0.250
0.000 0.000 0.995
0.000 0.000 0.505
0.500 0.500 0.750
```

Summary:
Space-group type ... No. 123

---

[15]
Material: BeIn3W
Method: DFT, PBE
State: relaxed

Cell and atoms, written as POSCAR:
```
BeIn3W
1.0
4.772 0.000 0.000
0.000 4.772 0.000
0.000 0.000 4.772
In Be W
3 1 1
direct
0.000 0.000 0.500
0.500 0.000 0.000
0.000 0.500 0.000
0.000 0.000 0.000
0.500 0.500 0.500
```

Summary:
Space-group type ... No. 221
Energy above the most stable polymorph in this dataset ... 0.0 meV/atom

---

Number 1: volume 126.5 Å³/cell, energy relative to the elements 2087 meV/atom, DOS at the Fermi energy 12.7 states/eV/cell. Number 2: volume 73.9 Å³/cell, energy relative to the elements 428 meV/atom, DOS at the Fermi energy 3.1 states/eV/cell. Number 3: volume 114.3 Å³/cell, energy relative to the elements 685 meV/atom, DOS at the Fermi energy 4.1 states/eV/cell. Number 4: volume 167.1 Å³/cell, energy relative to the elements 328 meV/atom, DOS at the Fermi energy 8.2 states/eV/cell. Number 5: volume 78.3 Å³/cell, energy relative to the elements 744 meV/atom, DOS at the Fermi energy 6.4 states/eV/cell. Number 6: volume 74.5 Å³/cell, energy relative to the elements 487 meV/atom, DOS at the Fermi energy 2.2 states/eV/cell. Number 7: volume 71.1 Å³/cell, energy relative to the elements 684 meV/atom, DOS at the Fermi energy 1.5 states/eV/cell. Number 8: volume 71.0 Å³/cell, energy relative to the elements 644 meV/atom, DOS at the Fermi energy 2.3 states/eV/cell. Number 9: volume 150.9 Å³/cell, energy relative to the elements 1267 meV/atom, DOS at the Fermi energy 4.6 states/eV/cell. Number 10: volume 71.1 Å³/cell, energy relative to the elements 736 meV/atom, DOS at the Fermi energy 2.1 states/eV/cell. Number 11: volume 74.4 Å³/cell, energy relative to the elements 497 meV/atom, DOS at the Fermi energy 2.1 states/eV/cell. Number 12: volume 71.8 Å³/cell, energy relative to the elements 752 meV/atom, DOS at the Fermi energy 1.3 states/eV/cell. Number 13: volume 59.1 Å³/cell, energy relative to the elements 1373 meV/atom, DOS at the Fermi energy 3.5 states/eV/cell. Number 14: volume 70.8 Å³/cell, energy relative to the elements 689 meV/atom, DOS at the Fermi energy 1.8 states/eV/cell. Number 15: volume 108.7 Å³/cell, energy relative to the elements 1214 meV/atom, DOS at the Fermi energy 2.6 states/eV/cell.